Entry from the Alexandria database: ReAs after structural relaxation (PBE).

Properties
Volume = 15.24 Å³/atom
Density of states at the Fermi level = 8.39 states/eV/cell
Energy of formation from the pure elements = 7.2 kcal/mol of atoms

Cell: 3.006 13.942 4.364 Å, 90.00 90.00 90.00°
Sites, in units of the cell vectors:
Re (0.250, 0.089, 0.129)
Re (0.250, 0.411, 0.129)
Re (0.250, 0.750, 0.653)
Re (0.750, 0.250, 0.347)
Re (0.750, 0.589, 0.871)
Re (0.750, 0.911, 0.871)
As (0.250, 0.250, 0.852)
As (0.250, 0.582, 0.374)
As (0.250, 0.918, 0.374)
As (0.750, 0.082, 0.626)
As (0.750, 0.418, 0.626)
As (0.750, 0.750, 0.148)



Entry from the Alexandria database: Ca3GaPd3 after structural relaxation (PBE).

Properties
Volume = 25.63 Å³/atom
Density of states at the Fermi level = 8.60 states/eV/cell
Energy of formation from the pure elements = -10.4 kcal/mol of atoms

Cell: 8.516 8.516 5.713 Å, 90.00 90.00 120.00°
Sites, in units of the cell vectors:
Ca (0.073, 0.673, 0.250)
Ca (0.327, 0.400, 0.250)
Ca (0.400, 0.073, 0.750)
Ca (0.600, 0.927, 0.250)
Ca (0.673, 0.600, 0.750)
Ca (0.927, 0.327, 0.750)
Ga (0.333, 0.667, 0.750)
Ga (0.667, 0.333, 0.250)
Pd (0.073, 0.729, 0.750)
Pd (0.271, 0.345, 0.750)
Pd (0.345, 0.073, 0.250)
Pd (0.655, 0.927, 0.750)
Pd (0.729, 0.655, 0.250)
Pd (0.927, 0.271, 0.250)



Entry from the Alexandria database: K2RbClO after structural relaxation (PBE).

Properties
Volume = 40.23 Å³/atom
Energy relative to the elements, uncorrected = -1.335 eV per atom

Cell: 7.918 4.940 10.951 Å, 90.00 110.07 90.00°
Sites, in units of the cell vectors:
K (0.037, 0.250, 0.417)
K (0.072, 0.750, 0.161)
K (0.928, 0.250, 0.839)
K (0.963, 0.750, 0.583)
Rb (0.393, 0.250, 0.816)
Rb (0.607, 0.750, 0.184)
Cl (0.287, 0.250, 0.100)
Cl (0.713, 0.750, 0.900)
O (0.062, 0.250, 0.667)
O (0.938, 0.750, 0.333)



Entry from the Alexandria database: K2AgOs after structural relaxation (PBE).

Properties
Volume = 25.50 Å³/atom
Density of states at the Fermi level = 3.46 states/eV/cell
Energy of formation from the pure elements = 25.0 kcal/mol of atoms

Cell: 2.960 2.960 11.643 Å, 90.00 90.00 90.00°
Sites, in units of the cell vectors:
K (0.000, 0.000, 0.000)
K (0.500, 0.500, 0.368)
Ag (0.500, 0.500, 0.760)
Os (0.000, 0.000, 0.593)



The evaluated offset from the most stable computed form for the records listed, in turn: 236, 281, 18, 219 meV/atom.